Record 1
A relaxed Ca2MgGe2 crystal, computed with PBE.

Structure (extended XYZ):
```
10
Lattice="5.9488 0.0000 0.0000 0.0000 7.9481 0.0000 -2.9744 -3.9740 5.7411" Properties=species:S:1:pos:R:3 pbc="T T T"
Ca 2.9744 2.8687 4.0699
Ca 0.0000 1.1053 1.6712
Ca 2.9744 -1.1053 1.6712
Ca 0.0000 5.0793 4.0699
Mg 4.4616 3.9740 0.0000
Mg 1.4872 3.9740 0.0000
Ge 0.0000 1.9944 4.5155
Ge 2.9744 1.9796 1.2256
Ge 0.0000 5.9684 1.2256
Ge 2.9744 -1.9944 4.5155
```

As for the theoretical density: 3.06 g/cm³. The symmetry is Ibam (72). Its density of states at the Fermi level is 2.76 states/eV/f.u. The energy relative to the elements comes out at -0.364 eV per atom.

Record 2
A relaxed CaMg3Ge2 crystal, computed with PBE.

Structure (extended XYZ):
```
12
Lattice="-3.9621 -1.7001 -0.6106 3.1600 -4.3400 7.1061 -3.4019 7.5220 1.1314" Properties=species:S:1:pos:R:3 pbc="T T T"
Ca -4.2797 2.3625 5.6658
Ca 0.0757 -0.8807 1.9611
Mg -1.1190 0.8289 4.9528
Mg -3.0049 -0.9381 6.5836
Mg -4.1392 3.3573 1.9839
Mg -0.0649 -1.8755 5.6430
Mg -1.1992 2.4200 1.0433
Mg -3.0851 0.6530 2.6741
Ge -1.6903 1.1943 7.6430
Ge -2.5137 0.2875 -0.0161
Ge -2.2904 -1.6556 3.9451
Ge -1.9136 3.1375 3.6818
```

The energy relative to the lowest polymorph listed for this composition is 18 meV per atom. As for the theoretical density: 3.14 g/cm³. The symmetry is C2/m (12). Its density of states at the Fermi level is 1.71 states/eV/f.u. The energy relative to the elements comes out at -0.334 eV per atom.

Record 3
A relaxed CaMg2Ge crystal, computed with PBE.

Structure (extended XYZ):
```
8
Lattice="4.3613 0.0000 0.0000 0.0000 4.3613 0.0000 2.1806 2.1806 10.7687" Properties=species:S:1:pos:R:3 pbc="T T T"
Mg 3.3864 1.0903 2.6922
Mg 0.9748 3.2709 2.6922
Mg 3.2709 3.1555 8.0765
Mg 5.4516 5.5671 8.0765
Ge 0.0000 0.0000 0.0000
Ge 4.3613 2.1806 5.3843
Ca 2.1806 2.1806 0.0000
Ca 2.1806 4.3613 5.3843
```

As for the theoretical density: 2.62 g/cm³. The symmetry is I-42d (122). Its density of states at the Fermi level is 3.26 states/eV/f.u. The energy relative to the elements comes out at 0.002 eV per atom.

Record 4
A relaxed CaMg3Ge3 crystal, computed with PBE.

Structure (extended XYZ):
```
14
Lattice="7.3502 0.0000 0.0000 0.0000 7.3502 0.0000 0.0000 0.0000 7.3502" Properties=species:S:1:pos:R:3 pbc="T T T"
Mg 0.0000 1.8375 3.6751
Mg 0.0000 5.5126 3.6751
Mg 3.6751 0.0000 5.5126
Mg 5.5126 3.6751 0.0000
Mg 3.6751 0.0000 1.8375
Mg 1.8375 3.6751 0.0000
Ge 1.8375 0.0000 3.6751
Ge 0.0000 3.6751 1.8375
Ge 3.6751 5.5126 0.0000
Ge 5.5126 0.0000 3.6751
Ge 0.0000 3.6751 5.5126
Ge 3.6751 1.8375 0.0000
Ca 3.6751 3.6751 3.6751
Ca 0.0000 0.0000 0.0000
```

As for the theoretical density: 2.77 g/cm³. The symmetry is Pm-3n (223). Its density of states at the Fermi level is 5.39 states/eV/f.u. The energy relative to the elements comes out at 0.195 eV per atom.